Be3NiTe PBE optimized geometry; electronic total energy = -17.6 eV for the cell shown; uncorrected formation energy = 242 kJ/mol of formula units; energy above the most stable polymorph in this dataset = 0 meV per atom
1.0
-0.855 1.460 -3.780
-3.644 -1.968 0.064
-1.774 3.339 1.691
Ni Te Be
1 1 3
direct
0.000 0.000 0.000
0.500 0.500 0.500
0.000 0.500 0.000
0.000 0.000 0.500
0.500 0.000 0.000